1.
First-principles (meta-GGA SCAN) data for a crystal of CsTi2Tc2 relaxed with PBEsol, as listed in Alexandria.

The structure belongs to space group I4/mmm (No. 139); the cell edges are 4.027, 4.027 and 14.791 Å and the angles 90.00°, 90.00° and 90.00°. The asymmetric unit holds Cs at (0.000, 0.000, 0.000), Ti at (0.000, 0.000, 0.346) and Tc at (0.000, 0.500, 0.250).

Its crystal system is tetragonal. For the energy, the calculation gives -27.325 eV/atom. The calculation puts the formation energy at 0.673 eV/atom. The density comes out at 5.88 Mg/m³.

---

2.
First-principles (meta-GGA SCAN) data for a crystal of Cs2CrH2Cl5O relaxed with PBEsol, as listed in Alexandria.

The structure belongs to space group Cmcm (No. 63); the cell edges are 7.249, 17.288 and 7.898 Å and the angles 90.00°, 90.00° and 90.00°. The asymmetric unit holds Cs at (0.000, 0.026, 0.250), Cs at (0.000, 0.251, 0.750), Cr at (0.000, 0.386, 0.250), H at (0.000, 0.463, 0.648), Cl at (0.000, 0.254, 0.250), Cl at (0.223, 0.390, 0.038) and O at (0.000, 0.495, 0.750).

Its crystal system is orthorhombic. For the energy, the calculation gives -15.075 eV/atom. The density comes out at 3.44 Mg/m³.

---

3.
First-principles (meta-GGA SCAN) data for a crystal of CuNiIr relaxed with PBEsol, as listed in Alexandria.

The structure belongs to space group Imm2 (No. 44); the cell edges are 2.597, 3.601 and 7.756 Å and the angles 90.00°, 90.00° and 90.00°. The asymmetric unit holds Cu at (0.000, 0.000, 0.000), Ni at (0.000, 0.000, 0.335) and Ir at (0.000, 0.000, 0.671).

Its crystal system is orthorhombic. For the energy, the calculation gives -34.040 eV/atom. The value obtained for the energy above the most stable polymorph in this dataset is 69.9 meV per atom. The calculation puts the formation energy at 0.117 eV/atom. The density comes out at 14.40 Mg/m³.

---

4.
First-principles (meta-GGA SCAN) data for a crystal of BeP3Rh relaxed with PBEsol, as listed in Alexandria.

The structure belongs to space group Pm-3m (No. 221); the cell edges are 4.524, 4.524 and 4.524 Å and the angles 90.00°, 90.00° and 90.00°. The asymmetric unit holds Be at (0.000, 0.000, 0.000), P at (0.000, 0.500, 0.500) and Rh at (0.500, 0.500, 0.500).

Its crystal system is cubic. For the energy, the calculation gives -12.753 eV/atom. The calculation puts the formation energy at 1.111 eV/atom. The density comes out at 3.67 Mg/m³.

---

5.
First-principles (meta-GGA SCAN) data for a crystal of MnTcNiCl2 relaxed with PBEsol, as listed in Alexandria.

The structure belongs to space group P4/mmm (No. 123); the cell edges are 4.585, 4.585 and 4.584 Å and the angles 90.00°, 90.00° and 90.00°. The asymmetric unit holds Mn at (0.000, 0.000, 0.000), Tc at (0.500, 0.500, 0.500), Ni at (0.500, 0.500, 0.000) and Cl at (0.000, 0.500, 0.500).

Its crystal system is tetragonal. For the energy, the calculation gives -16.524 eV/atom. For the uncorrected formation energy, the calculation gives 0.5653 eV/atom. The density comes out at 4.87 Mg/m³.

---

6.
First-principles (meta-GGA SCAN) data for a crystal of YTc2Br relaxed with PBEsol, as listed in Alexandria.

The structure belongs to space group P4/mmm (No. 123); the cell edges are 3.220, 3.220 and 6.740 Å and the angles 90.00°, 90.00° and 90.00°. The asymmetric unit holds Y at (0.000, 0.000, 0.000), Tc at (0.500, 0.500, 0.278) and Br at (0.000, 0.000, 0.500).

Its crystal system is tetragonal. For the energy, the calculation gives -28.567 eV/atom. The value obtained for the energy above the most stable polymorph in this dataset is 424.3 meV per atom. For the uncorrected formation energy, the calculation gives 0.7883 eV/atom. The density comes out at 8.67 Mg/m³.

---

7.
First-principles (meta-GGA SCAN) data for a crystal of ScNbSiGe2 relaxed with PBEsol, as listed in Alexandria.

The structure belongs to space group P4/mmm (No. 123); the cell edges are 4.661, 4.661 and 4.701 Å and the angles 90.00°, 90.00° and 90.00°. The asymmetric unit holds Sc at (0.000, 0.000, 0.000), Nb at (0.500, 0.500, 0.000), Si at (0.500, 0.500, 0.500) and Ge at (0.000, 0.500, 0.500).

Its crystal system is tetragonal. For the energy, the calculation gives -18.552 eV/atom. For the uncorrected formation energy, the calculation gives 0.5592 eV/atom. The density comes out at 5.06 Mg/m³.

---

8.
First-principles (meta-GGA SCAN) data for a crystal of HgMoSe4 relaxed with PBEsol, as listed in Alexandria.

The structure belongs to space group F-43m (No. 216); the cell edges are 7.970, 7.970 and 7.970 Å and the angles 90.00°, 90.00° and 90.00°. The asymmetric unit holds Hg at (0.000, 0.000, 0.000), Mo at (0.250, 0.250, 0.250) and Se at (0.124, 0.124, 0.624).

Its crystal system is cubic. For the energy, the calculation gives -29.675 eV/atom. For the uncorrected formation energy, the calculation gives 0.8862 eV/atom. The density comes out at 8.03 Mg/m³.

---

Question: What is the density in the fourth record?
Answer: 3.67 Mg/m³